Material: Pa2TiS6
Method: DFT, GGA-PBE
State: optimized geometry

The structure belongs to space group P2_1/c (No. 14); the cell edges are 6.089, 7.077 and 10.402 Å and the angles 90.00°, 124.70° and 90.00°. The distinct sites, in fractional coordinates, are Pa at (0.209, 0.125, 0.252), Ti at (0.500, 0.000, 0.000), S at (0.102, 0.171, 0.940), S at (0.287, 0.688, 0.938) and S at (0.376, 0.036, 0.736).

The value obtained for the total energy is -131.222 eV for the cell shown. Its polymorph energy (0 for the lowest one) is 0.0 meV/atom. Its energy relative to the elements, uncorrected is -1551 meV/atom. The calculation puts the spin magnetization at 0.0 μB/f.u. The crystal system is monoclinic.